1.
CsAgB10H10 | SCAN | PBEsol geometry

Cell and atoms, written as CIF:
```
data_CsAgB10H10
_symmetry_space_group_name_H-M 'P b c m'
_symmetry_Int_Tables_number 57
_cell_length_a 9.635
_cell_length_b 10.789
_cell_length_c 8.859
_cell_angle_alpha 90.00
_cell_angle_beta 90.00
_cell_angle_gamma 90.00
loop_
_symmetry_equiv_pos_as_xyz
'x,y,z'
'-x,-y,-z'
'-x,-y,z+1/2'
'x,y,-z+1/2'
'x,-y+1/2,-z'
'-x,y+1/2,z'
'-x,y+1/2,-z+1/2'
'x,-y+1/2,z+1/2'
loop_
_atom_site_label
_atom_site_type_symbol
_atom_site_fract_x
_atom_site_fract_y
_atom_site_fract_z
Cs1 Cs 0.181 0.065 0.250
Ag1 Ag 0.490 0.750 0.000
B1 B 0.146 0.084 0.750
B2 B 0.167 0.549 0.147
B3 B 0.255 0.669 0.250
B4 B 0.295 0.077 0.648
B5 B 0.346 0.579 0.105
B6 B 0.433 0.648 0.250
B7 B 0.436 0.010 0.750
H1 H 0.052 0.157 0.750
H2 H 0.081 0.579 0.055
H3 H 0.208 0.728 0.750
H4 H 0.319 0.158 0.555
H5 H 0.370 0.595 0.530
H6 H 0.455 0.563 0.750
H7 H 0.469 0.221 0.250
```

Results
**Fermi-level density of states**: 0.000 states/eV per cell
**Calculated volume**: 10.47 Å³/atom
**Energy**: -8.308 eV/atom

***

2.
CsAgBRu2 | SCAN | PBEsol geometry

Cell and atoms, written as CIF:
```
data_CsAgBRu2
_symmetry_space_group_name_H-M 'P 4/m m m'
_symmetry_Int_Tables_number 123
_symmetry_space_group_name_Hall '-P 4 2'
_cell_length_a 4.289
_cell_length_b 4.289
_cell_length_c 4.586
_cell_angle_alpha 90.00
_cell_angle_beta 90.00
_cell_angle_gamma 90.00
loop_
_atom_site_label
_atom_site_type_symbol
_atom_site_fract_x
_atom_site_fract_y
_atom_site_fract_z
Cs1 Cs 0.000 0.000 0.000
Ag1 Ag 0.500 0.500 0.000
B1 B 0.500 0.500 0.500
Ru1 Ru 0.000 0.500 0.500
```

Results
**Formation enthalpy at 0 K**: 1036 meV/atom
**Fermi-level density of states**: 2.849 states/eV per cell
**Calculated volume**: 16.87 Å³/atom

***

3.
CuAgB2 | SCAN | PBEsol geometry

Cell and atoms, written as CIF:
```
data_CuAgB2
_symmetry_space_group_name_H-M 'F m -3 m'
_symmetry_Int_Tables_number 225
_symmetry_space_group_name_Hall '-F 4 2 3'
_cell_length_a 5.465
_cell_length_b 5.465
_cell_length_c 5.465
_cell_angle_alpha 90.00
_cell_angle_beta 90.00
_cell_angle_gamma 90.00
loop_
_atom_site_label
_atom_site_type_symbol
_atom_site_fract_x
_atom_site_fract_y
_atom_site_fract_z
Cu1 Cu 0.000 0.000 0.000
Ag1 Ag 0.000 0.000 0.500
B1 B 0.250 0.250 0.250
```

Results
**Formation enthalpy at 0 K**: 1236 meV/atom
**Fermi-level density of states**: 5.904 states/eV per cell
**Calculated volume**: 10.20 Å³/atom

***

Copy entry 1 word for word.
CsAgB10H10 | SCAN | PBEsol geometry

Cell and atoms, written as CIF:
```
data_CsAgB10H10
_symmetry_space_group_name_H-M 'P b c m'
_symmetry_Int_Tables_number 57
_cell_length_a 9.635
_cell_length_b 10.789
_cell_length_c 8.859
_cell_angle_alpha 90.00
_cell_angle_beta 90.00
_cell_angle_gamma 90.00
loop_
_symmetry_equiv_pos_as_xyz
'x,y,z'
'-x,-y,-z'
'-x,-y,z+1/2'
'x,y,-z+1/2'
'x,-y+1/2,-z'
'-x,y+1/2,z'
'-x,y+1/2,-z+1/2'
'x,-y+1/2,z+1/2'
loop_
_atom_site_label
_atom_site_type_symbol
_atom_site_fract_x
_atom_site_fract_y
_atom_site_fract_z
Cs1 Cs 0.181 0.065 0.250
Ag1 Ag 0.490 0.750 0.000
B1 B 0.146 0.084 0.750
B2 B 0.167 0.549 0.147
B3 B 0.255 0.669 0.250
B4 B 0.295 0.077 0.648
B5 B 0.346 0.579 0.105
B6 B 0.433 0.648 0.250
B7 B 0.436 0.010 0.750
H1 H 0.052 0.157 0.750
H2 H 0.081 0.579 0.055
H3 H 0.208 0.728 0.750
H4 H 0.319 0.158 0.555
H5 H 0.370 0.595 0.530
H6 H 0.455 0.563 0.750
H7 H 0.469 0.221 0.250
```

Results
**Fermi-level density of states**: 0.000 states/eV per cell
**Calculated volume**: 10.47 Å³/atom
**Energy**: -8.308 eV/atom